(1)
Compound: NaAgO2
Source: Alexandria via LeMat-Bulk
Functional: PBE
Structure: relaxed

Calculated values
The volume is 13.60 Å³/atom. As for the raw formation energy: -0.62 eV per atom. The value obtained for the calculated density is 4.973 g cm⁻³. For the magnetic moment, the calculation gives 0.0 μB per formula unit.

Unit cell a=5.9215 b=6.0195 c=3.0513 alpha=90.00 beta=90.00 gamma=90.00
Last column: nearest neighbours and their distance in Å.
Space group Pnnm (No. 58)
Inequivalent atoms, fractional coordinates:
1 Na 0.0000 0.0000 0.0000 x2  6 O 2.48-2.52
2 Ag 0.0000 0.5000 0.5000 x2  4 O 2.06
3 O 0.1902 0.3666 0.0000 x4  2 Ag 2.06


(2)
Compound: Cd2Ge7Rh12
Source: Alexandria via LeMat-Bulk
Functional: PBE
Structure: relaxed

Calculated values
The volume is 15.77 Å³/atom. For the formation enthalpy at 0 K, the calculation gives -0.431 eV per atom. The value obtained for the calculated density is 9.867 g cm⁻³. For the magnetic moment, the calculation gives 0.0 μB per formula unit.

Unit cell a=10.0376 b=10.0376 c=3.7962 alpha=90.00 beta=90.00 gamma=120.00
Last column: nearest neighbours and their distance in Å.
Space group P-6 (No. 174)
Inequivalent atoms, fractional coordinates:
1 Cd 0.0000 0.0000 0.0000 x1  6 Rh 2.98, 6 Ge 3.26
2 Cd 0.3333 0.6667 0.5000 x1  6 Rh 2.92, 6 Ge 3.26
3 Ge 0.0525 0.6286 0.0000 x3  7 Rh 2.44-2.56
4 Ge 0.2748 0.0221 0.5000 x3  7 Rh 2.40-2.58
5 Ge 0.6667 0.3333 0.0000 x1  3 Rh 2.38
6 Rh 0.0304 0.7880 0.5000 x3  4 Ge 2.40-2.58
7 Rh 0.1315 0.4305 0.0000 x3  4 Ge 2.44-2.53
8 Rh 0.3930 0.1911 0.0000 x3  4 Ge 2.38-2.45
9 Rh 0.5489 0.4441 0.5000 x3  5 Ge 2.51-2.75


(3)
Compound: Fe2NiRu
Source: Alexandria via LeMat-Bulk
Functional: PBE
Structure: relaxed

Calculated values
The volume is 12.59 Å³/atom. For the formation enthalpy at 0 K, the calculation gives 0.135 eV per atom. The value obtained for the calculated density is 8.952 g cm⁻³. For the magnetic moment, the calculation gives 7.5 μB per formula unit.

Unit cell a=4.0399 b=4.0399 c=3.0853 alpha=90.00 beta=90.00 gamma=90.00
Last column: nearest neighbours and their distance in Å.
Space group P4/mmm (No. 123)
Inequivalent atoms, fractional coordinates:
1 Fe 0.0000 0.5000 0.0000 x2  4 Ru 2.54, 4 Ni 2.54
2 Ni 0.0000 0.0000 0.5000 x1  8 Fe 2.54
3 Ru 0.5000 0.5000 0.5000 x1  8 Fe 2.54


Q: magnetic moment of number 1 (NaAgO2)?
A: 0.0 μB per formula unit


Q: magnetic moment of number 2 (Cd2Ge7Rh12)?
A: 0.0 μB per formula unit